# TbGdDyHg PBE optimized geometry
data_TbGdDyHg
_chemical_formula_sum 'Tb4 Gd4 Dy4 Hg4'
_cell_length_a 7.671
_cell_length_b 7.671
_cell_length_c 7.671
_cell_angle_alpha 90.00
_cell_angle_beta 90.00
_cell_angle_gamma 90.00
_symmetry_space_group_name_H-M 'F -4 3 m'
_symmetry_Int_Tables_number 216
_symmetry_space_group_name_Hall 'F -4 2 3'
loop_
_atom_site_label
_atom_site_type_symbol
_atom_site_fract_x
_atom_site_fract_y
_atom_site_fract_z
Tb1 Tb 0.000 0.000 0.000
Gd1 Gd 0.000 0.000 0.500
Dy1 Dy 0.250 0.250 0.750
Hg1 Hg 0.250 0.250 0.250
# theoretical density = 10.0 g cm⁻³
# Fermi-level density of states = 5.16 states/eV/f.u.
# energy relative to the elements = -0.064 eV per atom
# size of the total moment = 7.9 μB/f.u.